Entry 1:
Computed, not measured: crystalline AlInSn3 at its relaxed geometry at the GGA-PBE level of DFT.

The space group is Pm-3m (No. 221) and the conventional cell measures 5.343, 5.343 and 5.343 Å, with angles of 90.00, 90.00 and 90.00 degrees. The distinct sites, in fractional coordinates, are Al at (0.000, 0.000, 0.000), In at (0.500, 0.500, 0.500) and Sn at (0.000, 0.000, 0.500).

The calculated total energy comes out at -3.333 eV/atom. The calculated volume comes out at 153 Å³/cell. For the magnetic moment, the calculation gives 0.0 μB/f.u. The relative energy among the computed polymorphs comes out at 0 meV per atom. The calculation puts the density of states at the Fermi level at 3.54 states/eV per cell. The density comes out at 5.42 g/cm3. The formation energy is 0.365 eV/atom.


Entry 2:
Computed, not measured: crystalline Al3In12Sn5 at its relaxed geometry at the GGA-PBE level of DFT.

The space group is Ia-3d (No. 230) and the conventional cell measures 16.974, 16.974 and 16.974 Å, with angles of 90.00, 90.00 and 90.00 degrees. The distinct sites, in fractional coordinates, are Al at (0.000, 0.250, 0.125), In at (0.020, 0.088, 0.651), Sn at (0.000, 0.000, 0.000) and Sn at (0.000, 0.250, 0.375).

The calculated total energy comes out at -3.022 eV/atom. The calculated volume comes out at 4890 Å³/cell. For the magnetic moment, the calculation gives 0.0 μB/f.u. The calculation puts the density of states at the Fermi level at 64.96 states/eV per cell. The density comes out at 5.57 g/cm3. The formation energy is 0.184 eV/atom.


Entry 3:
Computed, not measured: crystalline Al4InSn at its relaxed geometry at the GGA-PBE level of DFT.

The space group is F-43m (No. 216) and the conventional cell measures 7.923, 7.923 and 7.923 Å, with angles of 90.00, 90.00 and 90.00 degrees. The distinct sites, in fractional coordinates, are Al at (0.125, 0.125, 0.125), In at (0.250, 0.250, 0.750) and Sn at (0.000, 0.000, 0.500).

The calculated total energy comes out at -3.470 eV/atom. The calculated volume comes out at 497 Å³/cell. For the magnetic moment, the calculation gives 0.0 μB/f.u. The calculation puts the density of states at the Fermi level at 16.51 states/eV per cell. The density comes out at 4.56 g/cm3. The formation energy is 0.148 eV/atom.


Entry 4:
Computed, not measured: crystalline AlInSn3 at its relaxed geometry at the GGA-PBE level of DFT.

The space group is Pm-3m (No. 221) and the conventional cell measures 5.625, 5.625 and 5.625 Å, with angles of 90.00, 90.00 and 90.00 degrees. The distinct sites, in fractional coordinates, are Al at (0.000, 0.000, 0.000), In at (0.500, 0.500, 0.500) and Sn at (0.000, 0.500, 0.500).

The calculated total energy comes out at -2.920 eV/atom. The calculated volume comes out at 178 Å³/cell. For the magnetic moment, the calculation gives 0.0 μB/f.u. The relative energy among the computed polymorphs comes out at 413 meV per atom. The calculation puts the density of states at the Fermi level at 3.18 states/eV per cell. The density comes out at 4.65 g/cm3. The formation energy is 0.778 eV/atom.


Q: What is the formula in the fourth record?
A: AlInSn3


Please write out number 3 again, unchanged.
Computed, not measured: crystalline Al4InSn at its relaxed geometry at the GGA-PBE level of DFT.

The space group is F-43m (No. 216) and the conventional cell measures 7.923, 7.923 and 7.923 Å, with angles of 90.00, 90.00 and 90.00 degrees. The distinct sites, in fractional coordinates, are Al at (0.125, 0.125, 0.125), In at (0.250, 0.250, 0.750) and Sn at (0.000, 0.000, 0.500).

The calculated total energy comes out at -3.470 eV/atom. The calculated volume comes out at 497 Å³/cell. For the magnetic moment, the calculation gives 0.0 μB/f.u. The calculation puts the density of states at the Fermi level at 16.51 states/eV per cell. The density comes out at 4.56 g/cm3. The formation energy is 0.148 eV/atom.